{
  "formula": "Ba2Sb3AsPt4",
  "functional": "PBE-GGA",
  "state": "optimized geometry",
  "dos_at_fermi_per_ev_cell": 5.870,
  "density_g_cm3": 10.31,
  "raw_formation_energy_ev_per_atom": -0.80,
  "cell": [[4.7861, 0.0000, 0.0000], [0.0000, 4.7861, 0.0000], [0.0000, 0.0000, 10.5134]],
  "species": ["Ba", "Ba", "As", "Sb", "Sb", "Sb", "Pt", "Pt", "Pt", "Pt"],
  "frac_coords": [[0.0000, 0.5000, 0.7472], [0.5000, 0.0000, 0.2528], [0.5000, 0.5000, 0.5000], [0.0000, 0.5000, 0.1274], [0.0000, 0.0000, 0.5000], [0.5000, 0.0000, 0.8726], [0.5000, 0.5000, 0.0000], [0.0000, 0.5000, 0.3882], [0.0000, 0.0000, 0.0000], [0.5000, 0.0000, 0.6118]]
}


{
  "formula": "BaAs2PtSe",
  "functional": "PBE-GGA",
  "state": "optimized geometry",
  "dos_at_fermi_per_ev_cell": 9.652,
  "density_g_cm3": 4.67,
  "relative_energy_mev_per_atom": 1983,
  "raw_formation_energy_ev_per_atom": 1.57,
  "cell": [[5.8674, 0.0000, 0.0000], [0.0000, 5.8674, 0.0000], [0.0000, 0.0000, 5.8027]],
  "species": ["As", "As", "Ba", "Pt", "Se"],
  "frac_coords": [[0.0000, 0.5000, 0.0000], [0.5000, 0.0000, 0.0000], [0.0000, 0.0000, 0.0000], [0.5000, 0.5000, 0.5000], [0.0000, 0.0000, 0.5000]]
}


{
  "formula": "BaAs2PtSe",
  "functional": "PBE-GGA",
  "state": "optimized geometry",
  "dos_at_fermi_per_ev_cell": 3.638,
  "density_g_cm3": 6.96,
  "relative_energy_mev_per_atom": 0,
  "raw_formation_energy_ev_per_atom": -0.42,
  "cell": [[-2.5314, 3.9632, 1.4437], [-0.5178, -1.9629, 4.4808], [4.7110, 2.4239, 1.6063]],
  "species": ["Pt", "Ba", "Se", "As", "As"],
  "frac_coords": [[0.0000, 0.0000, 0.0000], [0.5000, 0.5000, 0.5000], [0.0000, 0.0000, 0.5000], [0.0000, 0.5000, 0.0000], [0.5000, 0.0000, 0.0000]]
}


{
  "formula": "Ba2SiAsPt6",
  "functional": "PBE-GGA",
  "state": "optimized geometry",
  "dos_at_fermi_per_ev_cell": 2.753,
  "density_g_cm3": 11.79,
  "raw_formation_energy_ev_per_atom": -0.73,
  "cell": [[-1.4766, -4.3004, 4.9989], [5.3509, -3.7645, -1.6642], [4.6431, -1.4714, 4.6644]],
  "species": ["Pt", "Pt", "Pt", "Pt", "Pt", "Pt", "As", "Si", "Ba", "Ba"],
  "frac_coords": [[0.2513, 0.3433, 0.4969], [0.7488, 0.2514, 0.9080], [0.3436, 0.2509, 0.9081], [0.2512, 0.7486, 0.0920], [0.7487, 0.6567, 0.5031], [0.6564, 0.7491, 0.0919], [0.0000, 0.0000, 0.0000], [0.5000, 0.5000, 0.0000], [0.2113, 0.7888, 0.5777], [0.7887, 0.2112, 0.4223]]
}


{
  "formula": "BaSmAs2Pt4",
  "functional": "PBE-GGA",
  "state": "optimized geometry",
  "dos_at_fermi_per_ev_cell": 4.645,
  "density_g_cm3": 10.99,
  "delta_e_f_mev_per_atom": -753,
  "cell": [[-1.5052, -1.5855, -3.5115], [-1.3125, -3.3335, 2.0678], [-9.4185, 4.8533, 1.8458]],
  "species": ["Ba", "Pt", "Pt", "Pt", "Pt", "Sm", "As", "As"],
  "frac_coords": [[0.0000, 0.0000, 0.5000], [0.0000, 0.5000, 0.7983], [0.5000, 0.0000, 0.2017], [0.0000, 0.5000, 0.2017], [0.5000, 0.0000, 0.7983], [0.0000, 0.0000, 0.0000], [0.5000, 0.5000, 0.3288], [0.5000, 0.5000, 0.6712]]
}


{
  "formula": "Ba2SmAs3Pt4",
  "functional": "PBE-GGA",
  "state": "optimized geometry",
  "dos_at_fermi_per_ev_cell": 5.748,
  "density_g_cm3": 10.26,
  "delta_e_f_mev_per_atom": -820,
  "cell": [[-0.1026, -2.7310, -3.6010], [4.3506, 0.9159, -0.8186], [3.0655, -8.7250, 6.5298]],
  "species": ["Pt", "Pt", "Pt", "Pt", "Sm", "Ba", "Ba", "As", "As", "As"],
  "frac_coords": [[0.5000, 0.5000, 0.0000], [0.0000, 0.0000, 0.0000], [0.5000, 0.0000, 0.6574], [0.0000, 0.5000, 0.3426], [0.5000, 0.5000, 0.5000], [0.0000, 0.5000, 0.7720], [0.5000, 0.0000, 0.2280], [0.5000, 0.0000, 0.8849], [0.0000, 0.0000, 0.5000], [0.0000, 0.5000, 0.1151]]
}


{
  "formula": "Ba2SnAs3Pt4",
  "functional": "PBE-GGA",
  "state": "optimized geometry",
  "dos_at_fermi_per_ev_cell": 7.200,
  "density_g_cm3": 10.40,
  "delta_e_f_mev_per_atom": -733,
  "cell": [[-3.3973, 2.9989, 0.8662], [-1.5474, -0.5062, -4.3168], [-6.1636, -7.8877, 3.1345]],
  "species": ["As", "As", "As", "Pt", "Pt", "Pt", "Pt", "Ba", "Ba", "Sn"],
  "frac_coords": [[0.0000, 0.5000, 0.1203], [0.5000, 0.0000, 0.8797], [0.0000, 0.0000, 0.5000], [0.5000, 0.0000, 0.6321], [0.0000, 0.5000, 0.3679], [0.0000, 0.0000, 0.0000], [0.5000, 0.5000, 0.0000], [0.5000, 0.0000, 0.2425], [0.0000, 0.5000, 0.7575], [0.5000, 0.5000, 0.5000]]
}


{
  "formula": "BaTbAs2Pt4",
  "functional": "PBE-GGA",
  "state": "optimized geometry",
  "dos_at_fermi_per_ev_cell": 4.482,
  "density_g_cm3": 11.21,
  "delta_e_f_mev_per_atom": -775,
  "cell": [[4.1304, 0.0000, 0.0000], [0.0000, 4.1304, 0.0000], [0.0000, 0.0000, 10.6464]],
  "species": ["Ba", "Pt", "Pt", "Pt", "Pt", "Tb", "As", "As"],
  "frac_coords": [[0.0000, 0.0000, 0.5000], [0.0000, 0.5000, 0.8024], [0.5000, 0.0000, 0.1976], [0.5000, 0.0000, 0.8024], [0.0000, 0.5000, 0.1976], [0.0000, 0.0000, 0.0000], [0.5000, 0.5000, 0.6735], [0.5000, 0.5000, 0.3265]]
}


{
  "formula": "BaY2AsPt",
  "functional": "PBE-GGA",
  "state": "optimized geometry",
  "dos_at_fermi_per_ev_cell": 5.405,
  "density_g_cm3": 5.76,
  "delta_e_f_mev_per_atom": 1160,
  "cell": [[5.7464, 0.0000, 0.0000], [0.0000, 5.1082, 0.0000], [0.0000, 0.0000, 5.7464]],
  "species": ["Y", "Y", "Ba", "As", "Pt"],
  "frac_coords": [[0.0000, 0.0000, 0.5000], [0.5000, 0.0000, 0.0000], [0.0000, 0.0000, 0.0000], [0.5000, 0.5000, 0.5000], [0.0000, 0.5000, 0.0000]]
}


{
  "formula": "BaYAs2Pt4",
  "functional": "PBE-GGA",
  "state": "optimized geometry",
  "dos_at_fermi_per_ev_cell": 4.511,
  "density_g_cm3": 10.59,
  "delta_e_f_mev_per_atom": -771,
  "cell": [[4.1275, 0.0000, 0.0000], [0.0000, 4.1275, 0.0000], [0.0000, 0.0000, 10.6447]],
  "species": ["As", "As", "Pt", "Pt", "Pt", "Pt", "Ba", "Y"],
  "frac_coords": [[0.5000, 0.5000, 0.6733], [0.5000, 0.5000, 0.3267], [0.5000, 0.0000, 0.8022], [0.0000, 0.5000, 0.1978], [0.5000, 0.0000, 0.1978], [0.0000, 0.5000, 0.8022], [0.0000, 0.0000, 0.5000], [0.0000, 0.0000, 0.0000]]
}


{
  "formula": "BaZnAs2Pt",
  "functional": "PBE-GGA",
  "state": "optimized geometry",
  "dos_at_fermi_per_ev_cell": 5.475,
  "density_g_cm3": 6.13,
  "delta_e_f_mev_per_atom": 6,
  "cell": [[4.9478, 0.0000, 0.0000], [0.0000, 6.0591, 0.0000], [0.0000, 0.0000, 4.9478]],
  "species": ["As", "As", "Ba", "Pt", "Zn"],
  "frac_coords": [[0.5000, 0.0000, 0.0000], [0.0000, 0.0000, 0.5000], [0.0000, 0.5000, 0.0000], [0.0000, 0.0000, 0.0000], [0.5000, 0.5000, 0.5000]]
}


{
  "formula": "Ba5PuAs4",
  "functional": "PBE-GGA",
  "state": "optimized geometry",
  "dos_at_fermi_per_ev_cell": 18.240,
  "density_g_cm3": 4.93,
  "delta_e_f_mev_per_atom": -876,
  "cell": [[4.6224, 0.0000, 0.0000], [0.0000, 9.0956, -0.4890], [-2.3112, -1.8038, 9.9624]],
  "species": ["Ba", "Ba", "Ba", "Ba", "Ba", "As", "As", "As", "As", "Pu"],
  "frac_coords": [[0.5000, 0.5000, 0.0000], [0.1680, 0.8529, 0.3360], [0.1571, 0.3235, 0.3142], [0.8429, 0.6765, 0.6858], [0.8320, 0.1471, 0.6640], [0.0029, 0.7763, 0.0058], [0.3422, 0.9100, 0.6845], [0.6578, 0.0900, 0.3155], [0.9971, 0.2237, 0.9942], [0.5000, 0.0000, 0.0000]]
}